A relaxed BaLiPu crystal, computed with GGA-PBE.

Results
The value obtained for the volume is 102 Å³ per cell. As for the symmetry: No. 216. The value obtained for the excess energy over the best structure of this formula in the dataset is 296.3 meV per atom. Its crystal system is cubic. For the total magnetization, the calculation gives 7.1 μB per cell.

Cell lengths 5.247, 5.247, 5.247 Å; angles 60.00, 60.00, 60.00 degrees
Each line ends with the local moment (μB).
Element x y z (fractional)
Ba 0.000 0.000 0.000  0.33
Li 0.250 0.250 0.250  0.02
Pu 0.750 0.750 0.750  5.93